Entry from the Open Quantum Materials Database: a geometry-optimized AcMgCo structure (GGA-PBE).

Geometry as POSCAR:
```
AcMgCo
1.0
0.000 3.556 3.556
3.556 0.000 3.556
3.556 3.556 0.000
Ac Mg Co
1 1 1
Cartesian
0.000 0.000 0.000
1.778 1.778 1.778
5.333 5.333 5.333
```

## Properties
* size of the total moment: 0.314 μB per formula unit
* crystal system: cubic
* calculated total energy: -3.282 eV/atom

***

Entry from the Open Quantum Materials Database: a geometry-optimized SmGd2Ge4Au4 structure (GGA-PBE).

Geometry as POSCAR:
```
SmGd2Ge4Au4
1.0
-2.195 3.561 7.348
2.195 -3.561 7.348
2.195 3.561 -7.348
Sm Gd Ge Au
1 2 4 4
Cartesian
0.000 0.000 0.000
2.195 0.000 5.482
0.000 3.561 1.866
0.000 0.000 3.195
2.195 2.262 0.000
0.000 1.299 7.348
0.000 0.000 11.501
2.195 1.428 -2.451
2.195 1.428 2.451
0.000 2.132 4.897
0.000 2.132 9.799
```

## Properties
* size of the total moment: 0.010 μB per formula unit
* crystal system: orthorhombic
* calculated total energy: -4.848 eV/atom

***

Entry from the Open Quantum Materials Database: a geometry-optimized Dy2Y2Er3Ni2Te2 structure (GGA-PBE).

Geometry as POSCAR:
```
Dy2Y2Er3Ni2Te2
1.0
-1.921 7.803 4.780
1.921 -7.803 4.780
1.921 7.803 -4.780
Dy Y Er Ni Te
2 2 3 2 2
Cartesian
0.000 2.882 0.000
0.000 12.723 0.000
1.921 -2.048 2.858
1.921 2.048 2.858
1.921 5.517 1.435
0.000 2.286 6.215
0.000 7.803 3.639
1.921 3.710 -1.830
0.000 4.093 2.950
0.000 0.000 1.383
0.000 7.803 0.436
```

## Properties
* size of the total moment: 0.006 μB per formula unit
* energy above the most stable polymorph in this dataset: 7 meV per atom
* crystal system: orthorhombic
* calculated total energy: -5.513 eV/atom

***

Entry from the Open Quantum Materials Database: a geometry-optimized LaGa3Co structure (GGA-PBE).

Geometry as POSCAR:
```
LaGa3Co
1.0
-2.154 2.154 5.151
2.154 -2.154 5.151
2.154 2.154 -5.151
La Ga Co
1 3 1
Cartesian
0.000 0.000 0.000
2.154 0.000 2.625
0.000 0.000 6.085
0.000 2.154 2.625
0.000 0.000 3.730
```

## Properties
* size of the total moment: 0.001 μB per formula unit
* crystal system: tetragonal
* calculated total energy: -4.729 eV/atom

***

> Which formula does entry 3 have?

Dy2Y2Er3Ni2Te2

***

> Which of these has the highest size of the total moment?

AcMgCo

***

> What is the size of the total moment in the second record?

0.010 μB per formula unit

***

> What is the size of the total moment in the third record?

0.006 μB per formula unit